# TmAlGa3Ni (PBE, optimized geometry)
# - Energy above the lowest structure with this stoichiometry: 0.000 eV per atom
# - M_tot: 0.0 μB per formula unit
# - Symmetry: Cmcm (63)
data_TmAlGa3Ni
_symmetry_space_group_name_H-M 'P 1'
_symmetry_Int_Tables_number 1
_cell_length_a 7.8725
_cell_length_b 7.8725
_cell_length_c 6.5712
_cell_angle_alpha 90.00
_cell_angle_beta 90.00
_cell_angle_gamma 150.18
loop_
_symmetry_equiv_pos_as_xyz
'x,y,z'
loop_
_atom_site_label
_atom_site_type_symbol
_atom_site_fract_x
_atom_site_fract_y
_atom_site_fract_z
Tm1 Tm 0.1215 0.8785 0.7500
Tm2 Tm 0.8785 0.1215 0.2500
Al1 Al 0.0717 0.9283 0.2500
Al2 Al 0.9283 0.0717 0.7500
Ga1 Ga 0.3158 0.6842 0.5509
Ga2 Ga 0.3158 0.6842 0.9491
Ga3 Ga 0.5000 0.5000 0.0000
Ga4 Ga 0.5000 0.5000 0.5000
Ga5 Ga 0.6842 0.3158 0.0509
Ga6 Ga 0.6842 0.3158 0.4491
Ni1 Ni 0.2250 0.7750 0.2500
Ni2 Ni 0.7750 0.2250 0.7500